{
  "formula": "Tb3SmTh4",
  "functional": "GGA-PBE",
  "state": "optimized geometry",
  "lattice": [[-2.593, -2.110, 0.840], [4.216, -1.919, 8.186], [-4.827, 8.368, -0.945]],
  "species": ["Tb", "Tb", "Tb", "Th", "Th", "Th", "Th", "Sm"],
  "fractional_positions": [[0.000, 0.500, 0.000], [0.184, 0.183, 0.368], [0.816, 0.817, 0.632], [0.349, 0.541, 0.699], [0.651, 0.459, 0.301], [0.649, 0.841, 0.299], [0.351, 0.159, 0.701], [0.500, 0.000, 0.000]],
  "dft_energy_ev_per_atom": -5.7167,
  "vol_a3_per_atom": 33.72,
  "formation_energy_ev_per_fu": 2.56
}